Entry 1:
# CeHfTiZn

CeHfTiZn after structural relaxation (PBE, the Alexandria database).

For the energy relative to the elements, the calculation gives 0.03 eV per atom. The total moment comes out at 0.0 μB/f.u.

Cell: 4.8818 4.8818 4.8818 Å, 60.00 60.00 60.00°
Fractional positions:
Zn1 0.5000 0.5000 0.5000
Hf1 0.7500 0.7500 0.7500
Ce1 0.2500 0.2500 0.2500
Ti1 0.0000 0.0000 0.0000


Entry 2:
# NaSr2GeIr

NaSr2GeIr after structural relaxation (PBE, the Alexandria database).

For the energy relative to the elements, the calculation gives -0.26 eV per atom. The total moment comes out at 0.0 μB/f.u.

Cell: 5.9628 5.9628 4.7577 Å, 90.00 90.00 90.00°
Fractional positions:
Sr1 0.0000 0.5000 0.0000
Sr2 0.5000 0.0000 0.0000
Ge1 0.0000 0.0000 0.5000
Ir1 0.0000 0.0000 0.0000
Na1 0.5000 0.5000 0.5000


Which value of energy relative to the elements does entry 1 give?
0.03 eV per atom